1.
DFT (PBE) results for a relaxed structure of Si2Ni13.

Cell and atoms, written as POSCAR:
```
Si2Ni13
1.0
6.283 0.000 0.000
3.141 5.441 0.000
3.141 1.814 5.673
Si Ni
2 13
Cartesian
6.283 3.627 5.114
6.283 3.627 0.558
6.283 3.627 2.836
6.283 5.813 1.219
4.390 2.535 1.219
8.176 2.535 1.219
4.390 4.720 4.453
6.283 1.442 4.453
8.176 4.720 4.453
6.283 5.900 3.601
4.315 2.491 3.601
8.251 2.491 3.601
4.315 4.764 2.071
6.283 1.355 2.071
8.251 4.764 2.071
```

calculated total energy: -5.57 eV/atom
DOS(E_F): 22.59 states/eV/f.u.
energy relative to the elements, uncorrected: 165 meV/atom
space-group type: R-3m

2.
DFT (PBE) results for a relaxed structure of AcPrPd4.

Cell and atoms, written as POSCAR:
```
AcPrPd4
1.0
5.619 0.000 0.000
2.810 4.866 0.000
2.810 1.622 4.588
Pr Ac Pd
1 1 4
Cartesian
2.810 1.622 1.147
0.000 0.000 0.000
5.619 3.244 0.575
5.619 1.623 2.867
7.023 4.055 2.867
4.215 4.055 2.867
```

calculated total energy: -5.70 eV/atom
energy of formation from the pure elements: -0.755 eV/atom
DOS(E_F): 1.33 states/eV/f.u.
space-group type: F-43m

3.
DFT (PBE) results for a relaxed structure of ZrTcHg2.

Cell and atoms, written as POSCAR:
```
ZrTcHg2
1.0
3.090 0.019 0.000
-1.141 2.872 0.000
0.000 0.000 9.309
Hg Tc Zr
2 1 1
Cartesian
0.000 0.000 9.245
0.975 1.446 2.501
0.000 0.000 4.799
0.975 1.446 6.727
```

calculated total energy: -4.72 eV/atom
energy of formation from the pure elements: 0.159 eV/atom
DOS(E_F): 2.81 states/eV/f.u.
energy above the lowest structure with this stoichiometry: 80 meV/atom
space-group type: Cmm2

4.
DFT (PBE) results for a relaxed structure of Cs2HgTe.

Cell and atoms, written as POSCAR:
```
Cs2HgTe
1.0
-3.348 2.955 -7.206
5.692 -6.092 1.538
-8.454 0.153 0.606
Cs Hg Te
2 1 1
Cartesian
-2.899 0.764 -1.621
-8.903 2.345 -4.979
-5.901 1.554 -3.300
0.000 0.000 0.000
```

calculated total energy: -1.50 eV/atom
energy relative to the elements, uncorrected: -211 meV/atom
energy above the lowest structure with this stoichiometry: 566 meV/atom
space-group type: I4/mmm

5.
DFT (PBE) results for a relaxed structure of Tb2HfUAs4.

Cell and atoms, written as POSCAR:
```
Tb2HfUAs4
1.0
4.026 0.000 0.000
0.000 6.979 0.137
0.000 -2.424 6.594
Tb Hf U As
2 1 1 4
Cartesian
2.013 -1.212 3.297
0.000 2.278 3.365
0.000 0.000 0.000
2.013 3.490 0.068
2.013 1.094 1.580
2.013 3.461 5.151
0.000 -0.130 5.036
0.000 4.686 1.694
```

calculated total energy: -7.33 eV/atom
energy of formation from the pure elements: -1.188 eV/atom
DOS(E_F): 7.41 states/eV/f.u.
space-group type: P2/m

6.
DFT (PBE) results for a relaxed structure of Mg2TaCu.

Cell and atoms, written as POSCAR:
```
Mg2TaCu
1.0
-3.017 -2.406 1.865
0.690 -2.187 -1.706
4.217 -2.939 3.030
Cu Mg Ta
1 2 1
Cartesian
2.189 -5.405 1.492
4.764 -4.710 1.629
-0.324 -2.347 1.372
2.622 -2.759 0.682
```

calculated total energy: -4.55 eV/atom
energy of formation from the pure elements: 0.238 eV/atom
DOS(E_F): 1.86 states/eV/f.u.
energy above the lowest structure with this stoichiometry: 146 meV/atom
space-group type: Pm

7.
DFT (PBE) results for a relaxed structure of UAgBiO6.

Cell and atoms, written as POSCAR:
```
UAgBiO6
1.0
-2.319 3.369 -3.789
3.885 -3.685 -1.553
-7.193 -6.867 -1.702
U Ag Bi O
2 2 2 12
Cartesian
0.019 -3.051 -2.724
-5.646 -4.133 -4.320
-2.050 -0.699 -3.469
-3.578 -6.484 -3.575
0.000 0.000 0.000
-3.597 -3.433 -0.851
0.131 -1.208 -3.711
0.360 -2.154 -0.863
-5.298 -3.243 -2.457
-5.988 -5.030 -6.180
-2.024 -2.699 -2.432
-0.088 -4.897 -1.743
-7.690 -3.778 -4.038
-0.329 -3.940 -4.586
-5.539 -2.286 -5.300
2.062 -3.406 -3.006
-3.603 -4.485 -4.612
-5.759 -5.975 -3.333
```

calculated total energy: -6.94 eV/atom
DOS(E_F): 4.92 states/eV/f.u.
energy relative to the elements, uncorrected: -1636 meV/atom
space-group type: P-31c

8.
DFT (PBE) results for a relaxed structure of Cs4NdU3Se8.

Cell and atoms, written as POSCAR:
```
Cs4NdU3Se8
1.0
-4.983 -6.117 -3.467
6.746 -1.570 -6.923
2.690 -0.743 8.154
Cs Nd U Se
4 1 3 8
Cartesian
-2.491 -3.059 -1.734
-1.146 -3.430 2.343
0.000 0.000 0.000
1.345 -0.371 4.077
3.373 -0.785 -3.461
0.881 -3.844 -5.195
2.227 -4.215 -1.118
4.718 -1.156 0.615
6.061 -3.217 2.219
4.741 -2.852 -1.782
2.226 -2.555 1.309
3.617 -6.218 0.518
0.836 -2.212 -2.755
2.227 -5.875 -3.546
-0.288 -5.579 -0.455
-1.608 -5.213 -4.456
```

calculated total energy: -5.69 eV/atom
DOS(E_F): 19.42 states/eV/f.u.
energy relative to the elements, uncorrected: -1325 meV/atom
space-group type: R-3m

9.
DFT (PBE) results for a relaxed structure of PmSm3Y5.

Cell and atoms, written as POSCAR:
```
PmSm3Y5
1.0
-0.099 2.458 -9.461
0.921 -3.800 -8.960
-10.292 -2.042 -4.536
Pm Sm Y
2 6 10
Cartesian
-6.918 -4.594 -12.421
-2.552 1.211 -10.536
0.000 0.000 0.000
-3.251 -3.163 -7.598
-5.146 -1.021 -2.268
-6.219 -0.220 -15.359
-9.036 -0.264 -10.180
-0.434 -3.119 -12.776
-7.402 -1.623 -12.659
-9.785 -1.670 -16.727
-2.121 0.487 -7.143
0.316 -1.713 -6.230
-2.646 -0.129 -13.764
-2.067 -1.761 -10.298
-4.240 -3.100 -14.262
-5.230 -0.284 -8.695
-6.823 -3.254 -9.193
-7.349 -3.870 -15.814
```

calculated total energy: -5.41 eV/atom
energy of formation from the pure elements: 0.287 eV/atom
DOS(E_F): 13.69 states/eV/f.u.
energy above the lowest structure with this stoichiometry: 229 meV/atom
space-group type: C2/c